No. 1
Material: Sc2TlZn
Method: DFT, PBEsol
State: relaxed

Cell: 10.7688 10.7688 10.7688 Å, 16.95 16.95 16.95°
With the nearest neighbours (Å) after each atom.
Sites, in units of the cell vectors:
Sc 0.0883 0.0883 0.0883  1 Zn 2.81, 3 Tl 3.09
Sc 0.9117 0.9117 0.9117  1 Zn 2.81, 3 Tl 3.09
Tl 0.5000 0.5000 0.5000  6 Sc 3.09, 6 Tl 3.17
Zn 0.0000 0.0000 0.0000  2 Sc 2.81

total moment = 0.00 μB per cell
calculated total energy = -4.15 eV per atom



No. 2
Material: La2Ga9Ru3
Method: DFT, PBEsol
State: relaxed

Cell: 7.4637 7.4637 9.7838 Å, 90.00 90.00 61.50°
With the nearest neighbours (Å) after each atom.
Sites, in units of the cell vectors:
La 0.0010 0.6763 0.7500  11 Ga 3.08-3.16, 2 Ru 3.44
La 0.3237 0.9990 0.7500  11 Ga 3.08-3.16, 2 Ru 3.44
La 0.6763 0.0010 0.2500  11 Ga 3.08-3.16, 2 Ru 3.44
La 0.9990 0.3237 0.2500  11 Ga 3.08-3.16, 2 Ru 3.44
Ga 0.0138 0.6606 0.0732  3 Ru 2.57-2.59, 4 Ga 2.73-2.88
Ga 0.0138 0.6606 0.4268  3 Ru 2.57-2.59, 4 Ga 2.73-2.88
Ga 0.1391 0.8609 0.2500  2 Ru 2.67, 6 Ga 2.70-2.73
Ga 0.3394 0.9862 0.0732  3 Ru 2.57-2.59, 4 Ga 2.73-2.88
Ga 0.3394 0.9862 0.4268  3 Ru 2.57-2.59, 4 Ga 2.73-2.88
Ga 0.3404 0.6596 0.5540  3 Ru 2.61-2.65, 5 Ga 2.65-2.86
Ga 0.3404 0.6596 0.9460  3 Ru 2.61-2.65, 5 Ga 2.65-2.86
Ga 0.3408 0.4491 0.2500  2 Ru 2.64, 6 Ga 2.70-2.86
Ga 0.4491 0.3408 0.7500  2 Ru 2.64, 6 Ga 2.70-2.86
Ga 0.5509 0.6592 0.2500  2 Ru 2.64, 6 Ga 2.70-2.86
Ga 0.6592 0.5509 0.7500  2 Ru 2.64, 6 Ga 2.70-2.86
Ga 0.6596 0.3404 0.0540  3 Ru 2.61-2.65, 5 Ga 2.65-2.86
Ga 0.6596 0.3404 0.4460  3 Ru 2.61-2.65, 5 Ga 2.65-2.86
Ga 0.6606 0.0138 0.5732  3 Ru 2.57-2.59, 4 Ga 2.73-2.88
Ga 0.6606 0.0138 0.9268  3 Ru 2.57-2.59, 4 Ga 2.73-2.88
Ga 0.8609 0.1391 0.7500  2 Ru 2.67, 6 Ga 2.70-2.73
Ga 0.9862 0.3394 0.5732  3 Ru 2.57-2.59, 4 Ga 2.73-2.88
Ga 0.9862 0.3394 0.9268  3 Ru 2.57-2.59, 4 Ga 2.73-2.88
Ru 0.0000 0.0000 0.0000  8 Ga 2.59-2.67
Ru 0.0000 0.0000 0.5000  8 Ga 2.59-2.67
Ru 0.3246 0.3246 0.0000  8 Ga 2.57-2.64
Ru 0.3246 0.3246 0.5000  8 Ga 2.57-2.64
Ru 0.6754 0.6754 0.0000  8 Ga 2.57-2.64
Ru 0.6754 0.6754 0.5000  8 Ga 2.57-2.64

total moment = 0.00 μB per cell
calculated total energy = -5.64 eV per atom